A crystal of CaSc2Cu relaxed with PBEsol. Source: Alexandria via LeMat-Bulk, functional meta-GGA SCAN.

The space group is I-4m2 (No. 119) and the conventional cell measures 4.323, 4.323 and 9.413 Å, with angles of 90.00, 90.00 and 90.00 degrees. The asymmetric unit holds Ca at (0.000, 0.000, 0.000), Sc at (0.000, 0.000, 0.500), Sc at (0.000, 0.500, 0.750) and Cu at (0.000, 0.500, 0.250).

The value obtained for the spin magnetization is 0.001 μB per atom. The calculation puts the uncorrected energy at -13.05 eV/atom. As for the formation enthalpy at 0 K: 289 meV/atom. As for the density of states at the Fermi level: 10.42 states/eV per cell.

***

A crystal of CoRePb2 relaxed with PBEsol. Source: Alexandria via LeMat-Bulk, functional meta-GGA SCAN.

The space group is Fm-3m (No. 225) and the conventional cell measures 6.566, 6.566 and 6.566 Å, with angles of 90.00, 90.00 and 90.00 degrees. The asymmetric unit holds Co at (0.000, 0.000, 0.000), Re at (0.000, 0.000, 0.500) and Pb at (0.250, 0.250, 0.250).

The value obtained for the spin magnetization is 0.000 μB per atom. The calculation puts the uncorrected energy at -58.83 eV/atom. As for the formation enthalpy at 0 K: 1157 meV/atom. As for the density of states at the Fermi level: 5.24 states/eV per cell. As for the relative energy among the computed polymorphs: 1.01 eV per formula unit.

***

A crystal of PmNdZn2 relaxed with PBEsol. Source: Alexandria via LeMat-Bulk, functional meta-GGA SCAN.

The space group is Fm-3m (No. 225) and the conventional cell measures 7.198, 7.198 and 7.198 Å, with angles of 90.00, 90.00 and 90.00 degrees. The asymmetric unit holds Pm at (0.000, 0.000, 0.000), Nd at (0.000, 0.000, 0.500) and Zn at (0.250, 0.250, 0.250).

The value obtained for the spin magnetization is 0.024 μB per atom. The calculation puts the uncorrected energy at -29.03 eV/atom. As for the formation enthalpy at 0 K: -378 meV/atom. As for the density of states at the Fermi level: 15.06 states/eV per cell.

***

A crystal of AuCl2 relaxed with PBEsol. Source: Alexandria via LeMat-Bulk, functional meta-GGA SCAN.

The space group is Cmcm (No. 63) and the conventional cell measures 3.639, 11.632 and 6.941 Å, with angles of 90.00, 90.00 and 90.00 degrees. The asymmetric unit holds Au at (0.000, 0.211, 0.250), Cl at (0.000, 0.152, 0.750) and Cl at (0.000, 0.424, 0.750).

The value obtained for the spin magnetization is 0.301 μB per atom. The calculation puts the uncorrected energy at -28.60 eV/atom. As for the density of states at the Fermi level: 3.59 states/eV per cell. The energy relative to the elements, uncorrected comes out at -0.23 eV per atom.